A.
Below is a relaxed structure of Sm7Tm12Sc, with properties calculated at the PBE level.

The structure in CIF format:
```
data_Sm7Tm12Sc
_cell_length_a 11.7906
_cell_length_b 11.7906
_cell_length_c 16.0883
_cell_angle_alpha 90.00
_cell_angle_beta 90.00
_cell_angle_gamma 120.00
_symmetry_space_group_name_H-M 'R -3'
_symmetry_Int_Tables_number 148
_symmetry_space_group_name_Hall '-R 3'
loop_
_atom_site_label
_atom_site_type_symbol
_atom_site_fract_x
_atom_site_fract_y
_atom_site_fract_z
Sm1 Sm 0.0000 0.0000 0.0000
Sm2 Sm 0.0573 0.8689 0.2894
Tm1 Tm 0.0313 0.5765 0.2212
Tm2 Tm 0.0527 0.4680 0.5834
Sc1 Sc 0.0000 0.0000 0.5000
```

B.
Below is a relaxed structure of Sm7Tm12Sc, with properties calculated at the PBE level.

The structure in CIF format:
```
data_Sm7Tm12Sc
_cell_length_a 11.1443
_cell_length_b 11.1443
_cell_length_c 11.1443
_cell_angle_alpha 90.00
_cell_angle_beta 90.00
_cell_angle_gamma 90.00
_symmetry_space_group_name_H-M 'I m -3 m'
_symmetry_Int_Tables_number 229
_symmetry_space_group_name_Hall '-I 4 2 3'
loop_
_atom_site_label
_atom_site_type_symbol
_atom_site_fract_x
_atom_site_fract_y
_atom_site_fract_z
Sm1 Sm 0.0000 0.0000 0.5000
Sm2 Sm 0.2500 0.2500 0.2500
Tm1 Tm 0.0000 0.2403 0.2403
Sc1 Sc 0.0000 0.0000 0.0000
```

Looking at the structures above, A is most stable, and the difference to the next one is 0.480 eV/atom.